Entry 1:
DFT (PBE) results for crystalline Pu2SbRu at its relaxed geometry.

Computed properties:
uncorrected formation energy: -0.27 eV/atom
crystal system: tetragonal

Unit cell a=4.4767 b=4.4767 c=4.3384 alpha=90.00 beta=90.00 gamma=90.00
Space group P4/mmm (No. 123)
Unique sites:
Pu (0.0000, 0.5000, 0.0000) [2 per cell]
Sb (0.0000, 0.0000, 0.5000) [1 per cell]
Ru (0.5000, 0.5000, 0.5000) [1 per cell]


Entry 2:
DFT (PBE) results for crystalline Pu3Sb2Ru at its relaxed geometry.

Computed properties:
uncorrected formation energy: -0.46 eV/atom
crystal system: orthorhombic

Unit cell a=12.7723 b=4.3524 c=10.8647 alpha=90.00 beta=90.00 gamma=90.00
Space group Pnma (No. 62)
Unique sites:
Pu (0.0488, 0.2500, 0.0971) [4 per cell]
Pu (0.1242, 0.7500, 0.5448) [4 per cell]
Pu (0.2456, 0.7500, 0.2636) [4 per cell]
Sb (0.0096, 0.2500, 0.7096) [4 per cell]
Sb (0.1968, 0.7500, 0.9720) [4 per cell]
Ru (0.1171, 0.2500, 0.3476) [4 per cell]


Entry 3:
DFT (PBE) results for crystalline Pu3Sb3Ru2 at its relaxed geometry.

Computed properties:
uncorrected formation energy: -0.42 eV/atom
crystal system: orthorhombic

Unit cell a=8.3316 b=14.9384 c=5.9293 alpha=90.00 beta=90.00 gamma=90.00
Space group Pnma (No. 62)
Unique sites:
Pu (0.0298, 0.1072, 0.1002) [8 per cell]
Pu (0.1619, 0.2500, 0.6383) [4 per cell]
Sb (0.1794, 0.0373, 0.5919) [8 per cell]
Sb (0.1855, 0.7500, 0.6366) [4 per cell]
Ru (0.1035, 0.6154, 0.3562) [8 per cell]


Entry 4:
DFT (PBE) results for crystalline Pu3Sb2Ru at its relaxed geometry.

Computed properties:
uncorrected formation energy: -0.30 eV/atom
crystal system: orthorhombic

Unit cell a=6.4261 b=13.8213 c=6.3325 alpha=90.00 beta=90.00 gamma=90.00
Space group Ibam (No. 72)
Unique sites:
Pu (0.0000, 0.0000, 0.2500) [4 per cell]
Pu (0.2247, 0.1326, 0.0000) [8 per cell]
Sb (0.2153, 0.3617, 0.0000) [8 per cell]
Ru (0.0000, 0.5000, 0.2500) [4 per cell]


Entry 5:
DFT (PBE) results for crystalline Pu4Sb8Ru3 at its relaxed geometry.

Computed properties:
uncorrected formation energy: -0.43 eV/atom
crystal system: tetragonal

Unit cell a=4.4128 b=4.4128 c=18.8327 alpha=90.00 beta=90.00 gamma=90.00
Space group P-4m2 (No. 115)
Unique sites:
Pu (0.0000, 0.5000, 0.1156) [2 per cell]
Pu (0.0000, 0.5000, 0.6238) [2 per cell]
Sb (0.0000, 0.0000, 0.2454) [2 per cell]
Sb (0.0000, 0.5000, 0.4209) [2 per cell]
Sb (0.0000, 0.5000, 0.9271) [2 per cell]
Sb (0.5000, 0.5000, 0.2459) [2 per cell]
Ru (0.0000, 0.0000, 0.0000) [1 per cell]
Ru (0.0000, 0.0000, 0.5000) [1 per cell]
Ru (0.5000, 0.5000, 0.5000) [1 per cell]


Entry 6:
DFT (PBE) results for crystalline Pu2ScRu3 at its relaxed geometry.

Computed properties:
formation enthalpy at 0 K: -289 meV/atom
crystal system: orthorhombic

Unit cell a=4.6862 b=14.1630 c=3.3188 alpha=90.00 beta=90.00 gamma=90.00
Space group Cmmm (No. 65)
Unique sites:
Pu (0.0000, 0.1635, 0.0000) [4 per cell]
Sc (0.0000, 0.5000, 0.0000) [2 per cell]
Ru (0.0000, 0.0000, 0.5000) [2 per cell]
Ru (0.0000, 0.3351, 0.5000) [4 per cell]


Repeat the second record exactly.
DFT (PBE) results for crystalline Pu3Sb2Ru at its relaxed geometry.

Computed properties:
uncorrected formation energy: -0.46 eV/atom
crystal system: orthorhombic

Unit cell a=12.7723 b=4.3524 c=10.8647 alpha=90.00 beta=90.00 gamma=90.00
Space group Pnma (No. 62)
Unique sites:
Pu (0.0488, 0.2500, 0.0971) [4 per cell]
Pu (0.1242, 0.7500, 0.5448) [4 per cell]
Pu (0.2456, 0.7500, 0.2636) [4 per cell]
Sb (0.0096, 0.2500, 0.7096) [4 per cell]
Sb (0.1968, 0.7500, 0.9720) [4 per cell]
Ru (0.1171, 0.2500, 0.3476) [4 per cell]